Entry 1:
PrSm2PuAs4: relaxed, PBE.

Cell: 4.2244 7.3036 7.3007 Å, 109.47 90.00 90.00°
Fractional coordinates of all 8 atoms:
As 0.0000 0.7565 0.2511
As 0.5000 0.2427 0.2465
As 0.5000 0.7573 0.7535
As 0.0000 0.2435 0.7489
Pr 0.5000 0.5000 0.0000
Sm 0.0000 0.5000 0.5000
Sm 0.5000 0.0000 0.5000
Pu 0.0000 0.0000 0.0000

Computed properties:
The uncorrected energy is -7.273 eV/atom. For the size of the total moment, the calculation gives 4.9 μB per formula unit. The value obtained for the density is 7.7 g cm⁻³.

---

Entry 2:
Pr2CdSn3Pd4: relaxed, PBE.

Cell: 4.5681 4.5681 10.8864 Å, 90.00 90.00 90.00°
Fractional coordinates of all 10 atoms:
Pd 0.5000 0.5000 0.0000
Pd 0.0000 0.5000 0.3647
Pd 0.0000 0.0000 0.0000
Pd 0.5000 0.0000 0.6353
Sn 0.0000 0.5000 0.1274
Sn 0.5000 0.0000 0.8726
Sn 0.0000 0.0000 0.5000
Cd 0.5000 0.5000 0.5000
Pr 0.5000 0.0000 0.2442
Pr 0.0000 0.5000 0.7558

Computed properties:
The uncorrected energy is -5.048 eV/atom. For the size of the total moment, the calculation gives 0.0 μB per formula unit. The value obtained for the density is 8.6 g cm⁻³.

---

Entry 3:
Rb2TaAuCl: relaxed, PBE.

Cell: 6.9386 5.1915 6.9386 Å, 90.00 90.00 90.00°
Fractional coordinates of all 5 atoms:
Rb 0.5000 0.0000 0.0000
Rb 0.0000 0.0000 0.5000
Au 0.0000 0.5000 0.0000
Cl 0.5000 0.5000 0.5000
Ta 0.0000 0.0000 0.0000

Computed properties:
For the size of the total moment, the calculation gives 4.1 μB per formula unit. For the uncorrected formation energy, the calculation gives 479 meV/atom. The value obtained for the density is 3.9 g cm⁻³.